Entry 1
{
  "formula": "Fe3TcCl",
  "functional": "PBE-GGA",
  "state": "relaxed",
  "magnetic_moment_mub_per_cell": 0.0,
  "lattice": [[4.0320, 0.0000, 0.0000], [0.0000, 4.0320, 0.0000], [0.0000, 0.0000, 4.0320]],
  "species": ["Fe", "Fe", "Fe", "Tc", "Cl"],
  "fractional_positions": [[0.0000, 0.0000, 0.5000], [0.0000, 0.5000, 0.0000], [0.5000, 0.0000, 0.0000], [0.5000, 0.5000, 0.5000], [0.0000, 0.0000, 0.0000]]
}

Entry 2
{
  "formula": "Fe3TcCl",
  "functional": "PBE-GGA",
  "state": "relaxed",
  "magnetic_moment_mub_per_cell": 8.4,
  "lattice": [[4.6425, 0.0000, 0.0000], [0.0000, 4.6425, 0.0000], [0.0000, 0.0000, 4.6425]],
  "species": ["Fe", "Fe", "Fe", "Tc", "Cl"],
  "fractional_positions": [[0.0000, 0.0000, 0.5000], [0.0000, 0.5000, 0.0000], [0.5000, 0.0000, 0.0000], [0.0000, 0.0000, 0.0000], [0.5000, 0.5000, 0.5000]]
}

entry 1 wins, 21.8 kJ/mol of atoms ahead of the next structure.

Entry 1
{
  "formula": "FeTcCl",
  "functional": "PBE-GGA",
  "state": "relaxed",
  "magnetic_moment_mub_per_cell": 2.9,
  "lattice": [[2.8627, 0.0000, 0.0000], [0.0000, 2.8627, 0.0000], [0.0000, 0.0000, 10.7403]],
  "species": ["Fe", "Fe", "Tc", "Tc", "Cl", "Cl"],
  "fractional_positions": [[0.0000, 0.0000, 0.0000], [0.5000, 0.5000, 0.5000], [0.0000, 0.0000, 0.3630], [0.5000, 0.5000, 0.8630], [0.0000, 0.0000, 0.6900], [0.5000, 0.5000, 0.1900]]
}

Entry 2
{
  "formula": "FeTcCl",
  "functional": "PBE-GGA",
  "state": "relaxed",
  "magnetic_moment_mub_per_cell": 10.9,
  "lattice": [[2.9514, 0.0000, 0.0000], [0.0000, 5.0820, 0.0000], [0.0000, 0.0000, 12.2649]],
  "species": ["Fe", "Fe", "Fe", "Fe", "Tc", "Tc", "Tc", "Tc", "Cl", "Cl", "Cl", "Cl"],
  "fractional_positions": [[0.0000, 0.0000, 0.0000], [0.0000, 0.5000, 0.5000], [0.5000, 0.0000, 0.5000], [0.5000, 0.5000, 0.0000], [0.0000, 0.0000, 0.6533], [0.0000, 0.5000, 0.1533], [0.5000, 0.0000, 0.1533], [0.5000, 0.5000, 0.6533], [0.0000, 0.0000, 0.3391], [0.0000, 0.5000, 0.8391], [0.5000, 0.0000, 0.8391], [0.5000, 0.5000, 0.3391]]
}

entry 1 wins, 3.5 kJ/mol of atoms ahead of the next structure.

Entry 1
{
  "formula": "FeTcCl",
  "functional": "PBE-GGA",
  "state": "relaxed",
  "magnetic_moment_mub_per_cell": 7.8,
  "lattice": [[5.7729, 0.0000, 0.0000], [0.0000, 5.7729, 0.0000], [0.0000, 0.0000, 5.7729]],
  "species": ["Fe", "Fe", "Fe", "Fe", "Tc", "Tc", "Tc", "Tc", "Cl", "Cl", "Cl", "Cl"],
  "fractional_positions": [[0.0000, 0.0000, 0.0000], [0.0000, 0.5000, 0.5000], [0.5000, 0.0000, 0.5000], [0.5000, 0.5000, 0.0000], [0.2500, 0.2500, 0.2500], [0.2500, 0.7500, 0.7500], [0.7500, 0.2500, 0.7500], [0.7500, 0.7500, 0.2500], [0.0000, 0.0000, 0.5000], [0.0000, 0.5000, 0.0000], [0.5000, 0.0000, 0.0000], [0.5000, 0.5000, 0.5000]]
}

Entry 2
{
  "formula": "FeTcCl",
  "functional": "PBE-GGA",
  "state": "relaxed",
  "magnetic_moment_mub_per_cell": 1.7,
  "lattice": [[2.8894, 0.0000, 0.0000], [-1.4447, 2.5023, 0.0000], [0.0000, 0.0000, 5.9171]],
  "species": ["Fe", "Tc", "Cl"],
  "fractional_positions": [[0.0000, 0.0000, 0.0000], [0.6667, 0.3333, 0.3172], [0.3333, 0.6667, 0.6852]]
}

entry 2 wins, 48.6 kJ/mol of atoms ahead of the next structure.

Entry 1
{
  "formula": "FeTeCl2",
  "functional": "PBE-GGA",
  "state": "relaxed",
  "magnetic_moment_mub_per_cell": 14.0,
  "lattice": [[6.9304, 0.0000, 0.0000], [0.0000, 6.9304, 0.0000], [0.0000, 0.0000, 6.9304]],
  "species": ["Fe", "Fe", "Fe", "Fe", "Te", "Te", "Te", "Te", "Cl", "Cl", "Cl", "Cl", "Cl", "Cl", "Cl", "Cl"],
  "fractional_positions": [[0.0000, 0.0000, 0.0000], [0.0000, 0.5000, 0.5000], [0.5000, 0.0000, 0.5000], [0.5000, 0.5000, 0.0000], [0.2500, 0.2500, 0.7500], [0.2500, 0.7500, 0.2500], [0.7500, 0.2500, 0.2500], [0.7500, 0.7500, 0.7500], [0.0000, 0.0000, 0.5000], [0.0000, 0.5000, 0.0000], [0.2500, 0.2500, 0.2500], [0.2500, 0.7500, 0.7500], [0.5000, 0.0000, 0.0000], [0.5000, 0.5000, 0.5000], [0.7500, 0.2500, 0.7500], [0.7500, 0.7500, 0.2500]]
}

Entry 2
{
  "formula": "FeTeCl2",
  "functional": "PBE-GGA",
  "state": "relaxed",
  "magnetic_moment_mub_per_cell": 5.3,
  "lattice": [[3.4137, 0.0000, 0.0000], [0.0000, 5.5000, 0.0000], [0.0000, 0.0000, 13.9872]],
  "species": ["Fe", "Fe", "Te", "Te", "Cl", "Cl", "Cl", "Cl"],
  "fractional_positions": [[0.0000, 0.0000, 0.0000], [0.5000, 0.5000, 0.5000], [0.0000, 0.5000, 0.3648], [0.5000, 0.0000, 0.8648], [0.0000, 0.0000, 0.3831], [0.0000, 0.5000, 0.6116], [0.5000, 0.0000, 0.1116], [0.5000, 0.5000, 0.8831]]
}

entry 2 wins, 58.3 kJ/mol of atoms ahead of the next structure.

Entry 1
{
  "formula": "FeTe3Cl",
  "functional": "PBE-GGA",
  "state": "relaxed",
  "magnetic_moment_mub_per_cell": 3.8,
  "lattice": [[5.3318, 0.0000, 0.0000], [0.0000, 5.3318, 0.0000], [0.0000, 0.0000, 5.3318]],
  "species": ["Fe", "Te", "Te", "Te", "Cl"],
  "fractional_positions": [[0.0000, 0.0000, 0.0000], [0.0000, 0.5000, 0.5000], [0.5000, 0.0000, 0.5000], [0.5000, 0.5000, 0.0000], [0.5000, 0.5000, 0.5000]]
}

Entry 2
{
  "formula": "FeTe3Cl",
  "functional": "PBE-GGA",
  "state": "relaxed",
  "magnetic_moment_mub_per_cell": 3.4,
  "lattice": [[5.0994, 0.0000, 0.0000], [0.0000, 5.0994, 0.0000], [0.0000, 0.0000, 5.0994]],
  "species": ["Fe", "Te", "Te", "Te", "Cl"],
  "fractional_positions": [[0.0000, 0.0000, 0.0000], [0.0000, 0.0000, 0.5000], [0.0000, 0.5000, 0.0000], [0.5000, 0.0000, 0.0000], [0.5000, 0.5000, 0.5000]]
}

entry 2 wins, 84.2 kJ/mol of atoms ahead of the next structure.

Entry 1
{
  "formula": "FeTe2Cl2",
  "functional": "PBE-GGA",
  "state": "relaxed",
  "magnetic_moment_mub_per_cell": 7.4,
  "lattice": [[3.9690, 0.0000, 0.0000], [0.0000, 3.9690, 0.0000], [0.0000, 0.0000, 20.8023]],
  "species": ["Fe", "Fe", "Te", "Te", "Te", "Te", "Cl", "Cl", "Cl", "Cl"],
  "fractional_positions": [[0.0000, 0.0000, 0.0000], [0.5000, 0.5000, 0.5000], [0.0000, 0.5000, 0.2500], [0.0000, 0.5000, 0.7500], [0.5000, 0.0000, 0.2500], [0.5000, 0.0000, 0.7500], [0.0000, 0.0000, 0.4269], [0.0000, 0.0000, 0.5731], [0.5000, 0.5000, 0.0731], [0.5000, 0.5000, 0.9269]]
}

Entry 2
{
  "formula": "FeTe2Cl2",
  "functional": "PBE-GGA",
  "state": "relaxed",
  "magnetic_moment_mub_per_cell": 7.4,
  "lattice": [[8.8827, 0.0000, 0.0000], [0.0000, 8.8827, 0.0000], [0.0000, 0.0000, 3.1153]],
  "species": ["Fe", "Fe", "Te", "Te", "Te", "Te", "Cl", "Cl", "Cl", "Cl"],
  "fractional_positions": [[0.0000, 0.0000, 0.0000], [0.5000, 0.5000, 0.0000], [0.1985, 0.3015, 0.5000], [0.3015, 0.8015, 0.5000], [0.6985, 0.1985, 0.5000], [0.8015, 0.6985, 0.5000], [0.1188, 0.6188, 0.0000], [0.3812, 0.1188, 0.0000], [0.6188, 0.8812, 0.0000], [0.8812, 0.3812, 0.0000]]
}

Entry 3
{
  "formula": "FeTe2Cl2",
  "functional": "PBE-GGA",
  "state": "relaxed",
  "magnetic_moment_mub_per_cell": 4.0,
  "lattice": [[6.8756, 0.0000, 0.0000], [0.0000, 6.8756, 0.0000], [0.0000, 0.0000, 5.4629]],
  "species": ["Fe", "Fe", "Te", "Te", "Te", "Te", "Cl", "Cl", "Cl", "Cl"],
  "fractional_positions": [[0.0000, 0.0000, 0.0000], [0.5000, 0.5000, 0.0000], [0.1615, 0.3385, 0.0000], [0.3385, 0.8385, 0.0000], [0.6615, 0.1615, 0.0000], [0.8385, 0.6615, 0.0000], [0.1756, 0.3244, 0.5000], [0.3244, 0.8244, 0.5000], [0.6756, 0.1756, 0.5000], [0.8244, 0.6756, 0.5000]]
}

entry 3 wins, 36.5 kJ/mol of atoms ahead of the next structure.